[1]
Below is a geometry-optimized TaSbTe2I structure, with properties calculated at the PBE level.

Calculated values
- formation energy (no corrections) (eV/atom) = 0.438
- energy (eV per atom) = -4.323
- offset from the most stable computed form (meV per atom) = 257

a = 5.444 Å, b = 5.444 Å, c = 5.493 Å
α = 90.00°, β = 90.00°, γ = 90.00°
Sites, in units of the cell vectors:
Te 0.000 0.500 0.000
Te 0.500 0.000 0.000
I 0.000 0.000 0.500
Ta 0.000 0.000 0.000
Sb 0.500 0.500 0.500


[2]
Below is a geometry-optimized PmCdH4Pd6 structure, with properties calculated at the PBE level.

Calculated values
- energy (eV per atom) = -4.456

a = 5.575 Å, b = 5.575 Å, c = 6.071 Å
α = 90.00°, β = 90.00°, γ = 120.00°
Sites, in units of the cell vectors:
Pd 0.500 0.500 0.731
Pd 0.500 0.000 0.731
Pd 0.000 0.500 0.269
Pd 0.000 0.500 0.731
Pd 0.500 0.000 0.269
Pd 0.500 0.500 0.269
H 0.667 0.333 0.845
H 0.333 0.667 0.155
H 0.333 0.667 0.845
H 0.667 0.333 0.155
Pm 0.000 0.000 0.000
Cd 0.000 0.000 0.500


[3]
Below is a geometry-optimized ZnGeRuPt structure, with properties calculated at the PBE level.

Calculated values
- energy (eV per atom) = -5.570
- formation energy (meV per atom) = -268

a = 4.330 Å, b = 4.330 Å, c = 4.330 Å
α = 60.00°, β = 60.00°, γ = 60.00°
Sites, in units of the cell vectors:
Ru 0.250 0.250 0.250
Ge 0.000 0.000 0.000
Zn 0.500 0.500 0.500
Pt 0.750 0.750 0.750


[4]
Below is a geometry-optimized PmUCu structure, with properties calculated at the PBE level.

Calculated values
- energy (eV per atom) = -6.587
- formation energy (meV per atom) = 125

a = 3.180 Å, b = 4.981 Å, c = 8.502 Å
α = 90.00°, β = 100.78°, γ = 90.00°
Sites, in units of the cell vectors:
Cu 0.600 0.750 0.201
Cu 0.400 0.250 0.799
U 0.246 0.750 0.491
U 0.754 0.250 0.509
Pm 0.072 0.250 0.143
Pm 0.928 0.750 0.857


[5]
Below is a geometry-optimized LaPm4Sm10 structure, with properties calculated at the PBE level.

Calculated values
- energy (eV per atom) = -4.323
- formation energy (meV per atom) = 418

a = 10.968 Å, b = 8.937 Å, c = 8.937 Å
α = 67.88°, β = 52.15°, γ = 52.15°
Sites, in units of the cell vectors:
Pm 0.556 0.661 0.227
Pm 0.783 0.773 0.661
Pm 0.217 0.227 0.339
Pm 0.444 0.339 0.773
Sm 0.949 0.100 0.342
Sm 0.709 0.342 0.900
Sm 0.951 0.658 0.100
Sm 0.391 0.900 0.658
Sm 0.051 0.900 0.658
Sm 0.750 0.500 0.500
Sm 0.609 0.100 0.342
Sm 0.049 0.342 0.900
Sm 0.291 0.658 0.100
Sm 0.250 0.500 0.500
La 0.000 0.000 0.000


[6]
Below is a geometry-optimized HfCd2O4 structure, with properties calculated at the PBE level.

Calculated values
- formation energy (no corrections) (eV/atom) = -2.033
- energy (eV per atom) = -6.550

a = 3.320 Å, b = 5.787 Å, c = 6.472 Å
α = 122.54°, β = 104.86°, γ = 90.00°
Sites, in units of the cell vectors:
O 0.394 0.737 0.789
O 0.124 0.870 0.248
O 0.876 0.130 0.752
O 0.606 0.263 0.211
Cd 0.680 0.701 0.359
Cd 0.320 0.299 0.641
Hf 0.000 0.000 0.000


[7]
Below is a geometry-optimized ZrSc2C structure, with properties calculated at the PBE level.

Calculated values
- energy (eV per atom) = -6.678
- formation energy (meV per atom) = 931

a = 9.600 Å, b = 9.600 Å, c = 9.600 Å
α = 19.53°, β = 19.53°, γ = 19.53°
Sites, in units of the cell vectors:
Sc 0.075 0.075 0.075
Sc 0.925 0.925 0.925
Zr 0.500 0.500 0.500
C 0.000 0.000 0.000


[8]
Below is a geometry-optimized MgUZnOs structure, with properties calculated at the PBE level.

Calculated values
- energy (eV per atom) = -6.193
- formation energy (meV per atom) = 153

a = 4.703 Å, b = 4.703 Å, c = 4.703 Å
α = 60.00°, β = 60.00°, γ = 60.00°
Sites, in units of the cell vectors:
Zn 0.000 0.000 0.000
Os 0.500 0.500 0.500
U 0.750 0.750 0.750
Mg 0.250 0.250 0.250


[9]
Below is a geometry-optimized Rb4Ce3PmS8 structure, with properties calculated at the PBE level.

Calculated values
- formation energy (no corrections) (eV/atom) = -1.781
- energy (eV per atom) = -5.496

a = 8.471 Å, b = 9.106 Å, c = 8.471 Å
α = 117.72°, β = 120.00°, γ = 90.00°
Sites, in units of the cell vectors:
Pm 0.000 0.500 0.000
S 0.267 0.304 0.035
S 0.732 0.696 0.464
S 0.733 0.696 0.965
S 0.769 0.304 0.537
S 0.231 0.696 0.463
S 0.268 0.304 0.536
S 0.231 0.696 0.965
S 0.769 0.304 0.035
Ce 0.500 0.500 0.000
Ce 0.500 0.500 0.500
Ce 0.000 0.500 0.500
Rb 0.500 0.000 0.500
Rb 0.500 0.000 0.000
Rb 0.000 0.000 0.000
Rb 0.000 0.000 0.500


[10]
Below is a geometry-optimized Nd2Sm5ErTh structure, with properties calculated at the PBE level.

Calculated values
- energy (eV per atom) = -4.864
- formation energy (meV per atom) = 149

a = 5.685 Å, b = 10.669 Å, c = 10.575 Å
α = 90.00°, β = 90.00°, γ = 105.45°
Sites, in units of the cell vectors:
Nd 0.115 0.230 0.315
Nd 0.885 0.770 0.232
Nd 0.885 0.770 0.815
Nd 0.115 0.230 0.732
Sm 0.295 0.591 0.705
Sm 0.615 0.229 0.525
Sm 0.482 0.963 0.743
Sm 0.725 0.450 0.815
Sm 0.518 0.037 0.243
Sm 0.275 0.550 0.315
Sm 0.705 0.409 0.205
Sm 0.015 0.030 0.018
Sm 0.985 0.970 0.518
Sm 0.385 0.771 0.025
Th 0.198 0.396 0.012
Th 0.802 0.604 0.512
Er 0.406 0.811 0.459
Er 0.594 0.189 0.959


[11]
Below is a geometry-optimized MgSi2Pt structure, with properties calculated at the PBE level.

Calculated values
- formation energy (no corrections) (eV/atom) = -0.172
- energy (eV per atom) = -4.792

a = 4.015 Å, b = 4.015 Å, c = 9.050 Å
α = 77.18°, β = 77.18°, γ = 90.00°
Sites, in units of the cell vectors:
Si 0.677 0.125 0.250
Si 0.375 0.323 0.750
Si 0.875 0.927 0.750
Si 0.073 0.625 0.250
Pt 0.000 0.000 0.000
Pt 0.750 0.250 0.500
Mg 0.500 0.500 0.000
Mg 0.250 0.750 0.500


[12]
Below is a geometry-optimized LaPrSm2Tl structure, with properties calculated at the PBE level.

Calculated values
- energy (eV per atom) = -4.237
- formation energy (meV per atom) = 66

a = 6.816 Å, b = 6.745 Å, c = 8.327 Å
α = 113.89°, β = 90.00°, γ = 90.00°
Sites, in units of the cell vectors:
Sm 0.000 0.743 0.000
Sm 0.000 0.257 0.000
Sm 0.500 0.743 0.000
Sm 0.500 0.257 0.000
Tl 0.750 0.354 0.708
Tl 0.250 0.646 0.292
La 0.750 0.748 0.496
La 0.250 0.252 0.504
Pr 0.750 0.155 0.311
Pr 0.250 0.845 0.689


[13]
Below is a geometry-optimized Sn5F structure, with properties calculated at the PBE level.

Calculated values
- formation energy (no corrections) (eV/atom) = -0.389
- energy (eV per atom) = -4.037

a = 4.345 Å, b = 5.669 Å, c = 6.755 Å
α = 114.81°, β = 90.00°, γ = 90.00°
Sites, in units of the cell vectors:
Sn 0.000 0.686 0.373
Sn 0.500 0.874 0.748
Sn 0.500 0.126 0.252
Sn 0.500 0.500 0.000
Sn 0.000 0.314 0.627
F 0.000 0.000 0.000


[14]
Below is a geometry-optimized AcAl4Ag2Pd structure, with properties calculated at the PBE level.

Calculated values
- energy (eV per atom) = -4.129
- formation energy (meV per atom) = -382

a = 4.425 Å, b = 4.425 Å, c = 9.831 Å
α = 77.00°, β = 77.00°, γ = 60.00°
Sites, in units of the cell vectors:
Al 0.409 0.409 0.774
Al 0.866 0.866 0.403
Al 0.591 0.591 0.226
Al 0.134 0.134 0.597
Ag 0.762 0.762 0.713
Ag 0.238 0.238 0.287
Pd 0.500 0.500 0.500
Ac 0.000 0.000 0.000


[15]
Below is a geometry-optimized CrTc3Pt structure, with properties calculated at the PBE level.

Calculated values
- energy (eV per atom) = -8.223
- offset from the most stable computed form (meV per atom) = 0
- formation energy (meV per atom) = 1129

a = 4.363 Å, b = 4.363 Å, c = 4.363 Å
α = 90.00°, β = 90.00°, γ = 90.00°
Sites, in units of the cell vectors:
Tc 0.000 0.000 0.500
Tc 0.000 0.500 0.000
Tc 0.500 0.000 0.000
Pt 0.500 0.500 0.500
Cr 0.000 0.000 0.000


[16]
Below is a geometry-optimized TiAl3Ga structure, with properties calculated at the PBE level.

Calculated values
- energy (eV per atom) = -3.645
- offset from the most stable computed form (meV per atom) = 912
- formation energy (meV per atom) = 785

a = 4.728 Å, b = 4.728 Å, c = 4.728 Å
α = 90.00°, β = 90.00°, γ = 90.00°
Sites, in units of the cell vectors:
Ti 0.500 0.500 0.500
Al 0.500 0.000 0.000
Al 0.000 0.000 0.500
Al 0.000 0.500 0.000
Ga 0.000 0.000 0.000


[17]
Below is a geometry-optimized Nd3Si4Ir2 structure, with properties calculated at the PBE level.

Calculated values
- formation energy (no corrections) (eV/atom) = -0.873
- energy (eV per atom) = -6.842
- offset from the most stable computed form (meV per atom) = 9

a = 4.039 Å, b = 6.039 Å, c = 8.397 Å
α = 99.32°, β = 90.00°, γ = 109.54°
Sites, in units of the cell vectors:
Si 0.950 0.900 0.616
Si 0.050 0.100 0.384
Si 0.274 0.549 0.933
Si 0.726 0.451 0.067
Ir 0.607 0.214 0.275
Ir 0.393 0.786 0.725
Nd 0.667 0.334 0.660
Nd 0.333 0.666 0.340
Nd 0.000 0.000 0.000


[18]
Below is a geometry-optimized Na2Sn4Se9 structure, with properties calculated at the PBE level.

Calculated values
- formation energy (no corrections) (eV/atom) = -0.424
- energy (eV per atom) = -3.758

a = 7.043 Å, b = 7.043 Å, c = 19.008 Å
α = 89.97°, β = 89.98°, γ = 60.00°
Sites, in units of the cell vectors:
Sn 0.333 0.333 0.482
Sn 0.333 0.333 0.982
Sn 0.333 0.333 0.187
Sn 0.667 0.667 0.018
Sn 0.666 0.666 0.313
Sn 0.667 0.667 0.813
Sn 0.334 0.334 0.687
Sn 0.667 0.667 0.518
Se 0.317 0.000 0.250
Se 0.659 0.961 0.420
Se 0.621 0.340 0.580
Se 0.683 0.000 0.750
Se 0.683 0.317 0.250
Se 0.379 0.961 0.920
Se 0.317 0.683 0.750
Se 0.660 0.379 0.920
Se 0.961 0.379 0.420
Se 0.379 0.660 0.420
Se 0.039 0.340 0.080
Se 0.000 0.317 0.750
Se 0.621 0.039 0.080
Se 0.961 0.660 0.920
Se 0.000 0.683 0.250
Se 0.039 0.621 0.580
Se 0.340 0.621 0.080
Se 0.341 0.039 0.580
Na 0.000 0.000 0.148
Na 0.000 0.000 0.648
Na 0.000 0.000 0.352
Na 0.000 0.000 0.852


[19]
Below is a geometry-optimized In8HgPb6 structure, with properties calculated at the PBE level.

Calculated values
- energy (eV per atom) = -2.895
- formation energy (meV per atom) = 69

a = 8.296 Å, b = 8.296 Å, c = 8.296 Å
α = 65.08°, β = 65.08°, γ = 65.08°
Sites, in units of the cell vectors:
In 0.659 0.079 0.768
In 0.921 0.232 0.341
In 0.768 0.659 0.079
In 0.574 0.574 0.574
In 0.079 0.768 0.659
In 0.426 0.426 0.426
In 0.341 0.921 0.232
In 0.232 0.341 0.921
Pb 0.739 0.909 0.433
Pb 0.433 0.739 0.909
Pb 0.567 0.261 0.091
Pb 0.091 0.567 0.261
Pb 0.909 0.433 0.739
Pb 0.261 0.091 0.567
Hg 0.000 0.000 0.000


[20]
Below is a geometry-optimized TlBrCl4 structure, with properties calculated at the PBE level.

Calculated values
- formation energy (no corrections) (eV/atom) = -0.442
- energy (eV per atom) = -2.347
- offset from the most stable computed form (meV per atom) = 0

a = 6.715 Å, b = 9.386 Å, c = 9.882 Å
α = 105.45°, β = 92.77°, γ = 127.86°
Sites, in units of the cell vectors:
Cl 0.061 0.158 0.907
Cl 0.580 0.972 0.322
Cl 0.939 0.842 0.093
Cl 0.242 0.350 0.322
Cl 0.345 0.748 0.907
Cl 0.655 0.252 0.093
Cl 0.758 0.650 0.678
Cl 0.420 0.028 0.678
Br 0.594 0.344 0.688
Br 0.406 0.656 0.312
Tl 0.803 0.053 0.106
Tl 0.197 0.947 0.894


[21]
Below is a geometry-optimized CuIrPtRh2 structure, with properties calculated at the PBE level.

Calculated values
- energy (eV per atom) = -5.285
- formation energy (meV per atom) = 1455

a = 4.677 Å, b = 4.908 Å, c = 4.677 Å
α = 90.00°, β = 90.00°, γ = 90.00°
Sites, in units of the cell vectors:
Cu 0.500 0.500 0.500
Rh 0.500 0.000 0.000
Rh 0.000 0.000 0.500
Ir 0.000 0.000 0.000
Pt 0.000 0.500 0.000


[22]
Below is a geometry-optimized SmTm3Th structure, with properties calculated at the PBE level.

Calculated values
- energy (eV per atom) = -5.008
- offset from the most stable computed form (meV per atom) = 0
- formation energy (meV per atom) = 103

a = 6.937 Å, b = 6.475 Å, c = 11.720 Å
α = 126.21°, β = 90.00°, γ = 122.39°
Sites, in units of the cell vectors:
Th 0.942 0.885 0.091
Th 0.058 0.115 0.909
Tm 0.759 0.517 0.506
Tm 0.591 0.687 0.291
Tm 0.241 0.483 0.494
Tm 0.409 0.313 0.709
Tm 0.096 0.687 0.291
Tm 0.904 0.313 0.709
Sm 0.457 0.914 0.105
Sm 0.543 0.086 0.895


[23]
Below is a geometry-optimized Tc2AgSb structure, with properties calculated at the PBE level.

Calculated values
- formation energy (no corrections) (eV/atom) = 0.499
- energy (eV per atom) = -6.428

a = 4.894 Å, b = 4.894 Å, c = 5.028 Å
α = 74.83°, β = 74.83°, γ = 36.33°
Sites, in units of the cell vectors:
Tc 0.988 0.988 0.984
Tc 0.512 0.512 0.516
Sb 0.250 0.250 0.250
Ag 0.750 0.750 0.750